(i)
# Tm5Ga2Ag

A relaxed Tm5Ga2Ag crystal (PBE-GGA, Alexandria).

Unit cell a=8.9460 b=8.9460 c=8.9460 alpha=130.90 beta=130.90 gamma=71.97
Closest atoms and distances in Å follow each position.
Fractional coordinates of all 16 atoms:
Tm  0.0000  0.0000  0.0000  4 Ga 2.95
Tm  0.0217  0.5217  0.8362  3 Ga 3.05, 2 Ag 3.15
Tm  0.1856  0.0217  0.5000  3 Ga 3.05, 2 Ag 3.15
Tm  0.3144  0.8144  0.8362  3 Ga 3.05, 2 Ag 3.15
Tm  0.4783  0.3144  0.5000  3 Ga 3.05, 2 Ag 3.15
Tm  0.5000  0.5000  0.0000  4 Ga 2.95
Tm  0.5217  0.6856  0.5000  3 Ga 3.05, 2 Ag 3.15
Tm  0.6856  0.1856  0.1638  3 Ga 3.05, 2 Ag 3.15
Tm  0.8144  0.9783  0.5000  3 Ga 3.05, 2 Ag 3.15
Tm  0.9783  0.4783  0.1638  3 Ga 3.05, 2 Ag 3.15
Ga  0.1235  0.3765  0.5000  1 Ga 2.60
Ga  0.3765  0.8765  0.2529  1 Ga 2.60
Ga  0.6235  0.1235  0.7471  1 Ga 2.60
Ga  0.8765  0.6235  0.5000  1 Ga 2.60
Ag  0.2500  0.2500  0.0000  8 Tm 3.15
Ag  0.7500  0.7500  0.0000  8 Tm 3.15

Calculated values
Magnetic moment (μB/f.u.): 0.000

---

(ii)
# Tm5Ga2Ag

A relaxed Tm5Ga2Ag crystal (PBE-GGA, Alexandria).

Unit cell a=6.3797 b=6.3797 c=6.3797 alpha=116.77 beta=116.77 gamma=95.69
Closest atoms and distances in Å follow each position.
Fractional coordinates of all 8 atoms:
Tm  0.0000  0.0000  0.0000  8 Tm 3.19, 4 Ga 3.34
Tm  0.0000  0.0000  0.5000  2 Ag 3.19, 6 Tm 3.19-3.34, 4 Ga 3.19
Tm  0.0000  0.5000  0.0000  4 Ga 3.19, 6 Tm 3.19-3.34, 2 Ag 3.19
Tm  0.5000  0.0000  0.0000  4 Ga 3.19, 6 Tm 3.19-3.34, 2 Ag 3.19
Tm  0.5000  0.5000  0.5000  4 Ga 3.19, 6 Tm 3.19-3.34, 2 Ag 3.19
Ga  0.0000  0.5000  0.5000  10 Tm 3.19-3.34, 2 Ag 3.34
Ga  0.5000  0.0000  0.5000  10 Tm 3.19-3.34, 2 Ag 3.34
Ag  0.5000  0.5000  0.0000  8 Tm 3.19, 4 Ga 3.34

Calculated values
Magnetic moment (μB/f.u.): 0.000

---

Computed stability ranking, most favorable first: (i), (ii)